Below is a relaxed Mg4MnPb crystal, with properties calculated at the GGA-PBE level.

The value obtained for the calculated volume is 23.26 Å³ per atom. The value obtained for the formation energy is 280 meV per atom.

The structure belongs to space group F-43m (No. 216); the cell edges are 8.234, 8.234 and 8.234 Å and the angles 90.00°, 90.00° and 90.00°. The distinct sites, in fractional coordinates, are Mg at (0.124, 0.124, 0.124), Mn at (0.250, 0.250, 0.750) and Pb at (0.000, 0.000, 0.500).